Compound: SrPm4Sm3Se8
Source: Alexandria via LeMat-Bulk
Functional: PBE
Structure: optimized geometry

Properties
Energy relative to the elements, uncorrected in eV/atom: -1.837
Density in kg/m3: 6872

a = 8.4283 Å, b = 8.4283 Å, c = 8.4283 Å
α = 59.96°, β = 59.96°, γ = 59.96°
With the nearest neighbours (Å) after each atom.
Element x y z (fractional)
Sr1 0.0000 0.0000 0.0000  6 Se 3.01
Pm1 0.0000 0.0000 0.5000  6 Se 2.99
Pm2 0.0000 0.5000 0.0000  6 Se 2.99
Pm3 0.5000 0.0000 0.0000  6 Se 2.99
Pm4 0.5000 0.5000 0.5000  6 Se 2.95
Sm1 0.0000 0.5000 0.5000  6 Se 2.97
Sm2 0.5000 0.0000 0.5000  6 Se 2.97
Sm3 0.5000 0.5000 0.0000  6 Se 2.97
Se1 0.2508 0.2508 0.2508  3 Sm 2.97, 3 Pm 2.99
Se2 0.2523 0.2523 0.7462  3 Pm 2.95-2.99, 2 Sm 2.97, 1 Sr 3.01
Se3 0.2523 0.7462 0.2523  3 Pm 2.95-2.99, 2 Sm 2.97, 1 Sr 3.01
Se4 0.2538 0.7477 0.7477  3 Pm 2.95-2.99, 2 Sm 2.97, 1 Sr 3.01
Se5 0.7462 0.2523 0.2523  3 Pm 2.95-2.99, 2 Sm 2.97, 1 Sr 3.01
Se6 0.7477 0.2538 0.7477  3 Pm 2.95-2.99, 2 Sm 2.97, 1 Sr 3.01
Se7 0.7477 0.7477 0.2538  3 Pm 2.95-2.99, 2 Sm 2.97, 1 Sr 3.01
Se8 0.7492 0.7492 0.7492  3 Sm 2.97, 3 Pm 2.99